VASP calculation (PBE-GGA) on a relaxed Ho3Cd4Ga2 crystal.

Geometry as CIF:
```
data_Ho3Cd4Ga2
_chemical_formula_sum 'Ho6 Cd8 Ga4'
_symmetry_space_group_name_H-M 'C 1 2/m 1'
_symmetry_Int_Tables_number 12
_cell_length_a 10.839
_cell_length_b 4.783
_cell_length_c 8.975
_cell_angle_alpha 90.00
_cell_angle_beta 117.41
_cell_angle_gamma 90.00
loop_
_symmetry_equiv_pos_as_xyz
'x,y,z'
'-x,-y,-z'
'-x,y,-z'
'x,-y,z'
'x+1/2,y+1/2,z'
'-x+1/2,-y+1/2,-z'
'-x+1/2,y+1/2,-z'
'x+1/2,-y+1/2,z'
loop_
_atom_site_label
_atom_site_fract_x
_atom_site_fract_y
_atom_site_fract_z
_atom_site_occupancy
Ho1 0.000 0.000 0.000 1
Ho2 0.166 0.500 0.668 1
Cd1 0.072 0.000 0.402 1
Cd2 0.206 0.500 0.043 1
Ga1 0.106 0.500 0.273 1
```

## Properties
Formation energy (eV per atom): -0.395